(1)
This record from the Open Quantum Materials Database describes a relaxed structure of NdMgCuSe3. The functional is PBE-GGA.

Unit cell a=6.7089 b=6.7089 c=11.0415 alpha=90.00 beta=90.00 gamma=146.00
Last column: nearest neighbours and their distance in Å.
Fractional positions:
Nd: 0.0000 0.0000 0.0000  6 Se 2.93-3.04
Nd: 0.0000 0.0000 0.5000  6 Se 2.93-3.04
Mg: 0.2327 0.7673 0.7500  6 Se 2.86-2.91
Mg: 0.7673 0.2327 0.2500  6 Se 2.86-2.91
Cu: 0.4764 0.5236 0.2500  4 Se 2.45-2.52
Cu: 0.5236 0.4764 0.7500  4 Se 2.45-2.52
Se: 0.0999 0.9001 0.2500  2 Cu 2.52
Se: 0.3474 0.6526 0.0865  1 Cu 2.45
Se: 0.3474 0.6526 0.4135  1 Cu 2.45
Se: 0.6526 0.3474 0.5865  1 Cu 2.45
Se: 0.6526 0.3474 0.9135  1 Cu 2.45
Se: 0.9001 0.0999 0.7500  2 Cu 2.52

Results
Calculated density ... 5.6 g/cm³
Calculated total energy ... -4.550 eV per atom
M_tot ... 0.000 μB per atom

***

(2)
This record from the Open Quantum Materials Database describes a relaxed structure of MgCuNi. The functional is PBE-GGA.

Unit cell a=5.9537 b=3.8407 c=7.2777 alpha=90.00 beta=90.00 gamma=90.00
Last column: nearest neighbours and their distance in Å.
Fractional positions:
Mg: 0.0385 0.2500 0.1872  5 Cu 2.62-2.66, 5 Ni 2.73-2.90
Mg: 0.4615 0.7500 0.6872  5 Cu 2.62-2.66, 5 Ni 2.73-2.90
Mg: 0.5385 0.2500 0.3128  5 Cu 2.62-2.66, 5 Ni 2.73-2.90
Mg: 0.9615 0.7500 0.8128  5 Cu 2.62-2.66, 5 Ni 2.73-2.90
Cu: 0.2487 0.7500 0.3717  4 Ni 2.37-2.42, 5 Mg 2.62-2.66
Cu: 0.2513 0.2500 0.8717  4 Ni 2.37-2.42, 5 Mg 2.62-2.66
Cu: 0.7487 0.7500 0.1283  4 Ni 2.37-2.42, 5 Mg 2.62-2.66
Cu: 0.7513 0.2500 0.6283  4 Ni 2.37-2.42, 5 Mg 2.62-2.66
Ni: 0.1393 0.2500 0.5527  4 Cu 2.37-2.42, 2 Ni 2.65
Ni: 0.3607 0.7500 0.0527  4 Cu 2.37-2.42, 2 Ni 2.65
Ni: 0.6393 0.2500 0.9473  4 Cu 2.37-2.42, 2 Ni 2.65
Ni: 0.8607 0.7500 0.4473  4 Cu 2.37-2.42, 2 Ni 2.65

Results
Calculated density ... 5.8 g/cm³
Calculated total energy ... -3.657 eV per atom
M_tot ... 0.000 μB per atom
Energy above the lowest structure with this stoichiometry ... 0 meV per atom

***

(3)
This record from the Open Quantum Materials Database describes a relaxed structure of MgCuNi. The functional is PBE-GGA.

Unit cell a=6.0140 b=3.7638 c=7.3763 alpha=90.00 beta=90.00 gamma=90.00
Last column: nearest neighbours and their distance in Å.
Fractional positions:
Mg: 0.0382 0.2500 0.1796  5 Ni 2.60-2.67, 3 Cu 2.81-2.85
Mg: 0.4618 0.7500 0.6796  5 Ni 2.60-2.67, 3 Cu 2.81-2.85
Mg: 0.5382 0.2500 0.3204  5 Ni 2.60-2.67, 3 Cu 2.81-2.85
Mg: 0.9618 0.7500 0.8204  5 Ni 2.60-2.67, 3 Cu 2.81-2.85
Cu: 0.1435 0.2500 0.5514  4 Ni 2.40-2.41, 2 Cu 2.66
Cu: 0.3565 0.7500 0.0514  4 Ni 2.40-2.41, 2 Cu 2.66
Cu: 0.6435 0.2500 0.9486  4 Ni 2.40-2.41, 2 Cu 2.66
Cu: 0.8565 0.7500 0.4486  4 Ni 2.40-2.41, 2 Cu 2.66
Ni: 0.2435 0.7500 0.3638  4 Cu 2.40-2.41, 5 Mg 2.60-2.67
Ni: 0.2565 0.2500 0.8638  4 Cu 2.40-2.41, 5 Mg 2.60-2.67
Ni: 0.7435 0.7500 0.1362  4 Cu 2.40-2.41, 5 Mg 2.60-2.67
Ni: 0.7565 0.2500 0.6362  4 Cu 2.40-2.41, 5 Mg 2.60-2.67

Results
Calculated density ... 5.8 g/cm³
Calculated total energy ... -3.651 eV per atom
M_tot ... 0.001 μB per atom
Energy above the lowest structure with this stoichiometry ... 5 meV per atom